A relaxed CdPdO3 crystal, computed with PBE-GGA. Values from VASP.

Output
Total energy (eV per cell): -95.13
Symmetry: Pnma

```
&SYSTEM
  ibrav = 0, nat = 20, ntyp = 3
/
ATOMIC_SPECIES
O 16.00 O.upf
Pd 106.42 Pd.upf
Cd 112.41 Cd.upf
ATOMIC_POSITIONS crystal
O 0.700 0.295 0.067
O 0.878 0.555 0.750
O 0.800 0.795 0.433
O 0.122 0.445 0.250
Pd 0.500 0.000 0.500
Pd 0.000 0.500 0.500
Cd 0.018 0.943 0.750
O 0.300 0.705 0.933
O 0.622 0.055 0.750
Cd 0.982 0.057 0.250
O 0.200 0.205 0.567
Cd 0.518 0.557 0.250
O 0.300 0.705 0.567
Pd 0.500 0.000 0.000
O 0.378 0.945 0.250
O 0.200 0.205 0.933
Pd 0.000 0.500 0.000
O 0.700 0.295 0.433
O 0.800 0.795 0.067
Cd 0.482 0.443 0.750
CELL_PARAMETERS angstrom
-0.940 5.052 -1.576
-0.144 -1.680 -5.299
-7.548 -1.219 0.592
```